[1]
{
  "formula": "Hg5AsI2",
  "functional": "PBE",
  "state": "optimized geometry",
  "de_polymorph_mev_per_atom": 0,
  "formation_energy_uncorrected_ev_per_atom": -0.0302,
  "lattice": [[6.640, 0.000, 0.000], [2.844, 6.120, 0.000], [2.584, 1.729, 7.110]],
  "species": ["Hg", "Hg", "Hg", "Hg", "Hg", "As", "I", "I"],
  "fractional_positions": [[0.000, 0.000, 0.000], [0.025, 0.619, 0.902], [0.484, 0.521, 0.437], [0.586, 0.990, 0.887], [0.871, 0.419, 0.557], [0.206, 0.282, 0.740], [0.020, 0.921, 0.400], [0.496, 0.427, 0.077]]
}

=====

[2]
{
  "formula": "InFeP",
  "functional": "PBE",
  "state": "optimized geometry",
  "formation_energy_ev_per_atom": 0.019,
  "lattice": [[3.833, 0.000, 0.000], [-1.917, 3.320, 0.000], [0.000, 0.000, 3.848]],
  "species": ["In", "Fe", "P"],
  "fractional_positions": [[0.000, 0.000, 0.000], [0.333, 0.667, 0.500], [0.667, 0.333, 0.500]]
}

=====

| no. | density of states at the Fermi level (states/eV per cell) |
| --- | --- |
| 1 | 2.37 |
| 2 | 2.17 |